## i
GGA-PBEsol MgZr2Hg, optimized geometry; space group = Cmmm, No. 65; calculated density = 8.12 Mg/m³
1.0
5.875 0.000 0.000
0.000 8.675 0.000
0.000 0.000 3.267
Mg Zr Hg
2 4 2
Direct
0.000 0.000 0.000
0.500 0.500 0.000
0.250 0.250 0.500
0.250 0.750 0.500
0.750 0.250 0.500
0.750 0.750 0.500
0.000 0.500 0.000
0.500 0.000 0.000

=====

## ii
GGA-PBEsol MgZr2Hg, optimized geometry; space group = Pmmm, No. 47; calculated density = 8.13 Mg/m³
1.0
3.313 0.000 0.000
0.000 4.253 0.000
0.000 0.000 5.905
Mg Zr Hg
1 2 1
Direct
0.000 0.000 0.000
0.500 0.500 0.254
0.500 0.500 0.746
0.000 0.000 0.500

=====

It comes down to ii, which is 11 meV/atom more stable than the next structure.

=====

## i
GGA-PBEsol MgZr2Hg, optimized geometry; space group = P4mm, No. 99; calculated density = 7.94 Mg/m³
1.0
3.135 0.000 0.000
0.000 3.135 0.000
0.000 0.000 8.668
Mg Zr Hg
1 2 1
Direct
0.000 0.000 0.000
0.000 0.000 0.529
0.500 0.500 0.272
0.500 0.500 0.777

=====

## ii
GGA-PBEsol MgZr2Hg, optimized geometry; space group = Cm, No. 8; calculated density = 8.06 Mg/m³
1.0
10.576 0.000 0.000
0.000 3.231 0.000
-1.951 0.000 4.909
Mg Zr Hg
2 4 2
Direct
0.000 0.000 0.000
0.500 0.500 0.000
0.020 0.500 0.511
0.266 0.500 0.367
0.520 0.000 0.511
0.766 0.000 0.367
0.264 0.000 0.879
0.764 0.500 0.879

=====

It comes down to i, which is 32 meV/atom more stable than the next structure.

=====

## i
GGA-PBEsol MnHg, optimized geometry; space group = P6_3/mmc, No. 194; calculated density = 12.03 Mg/m³
1.0
3.038 0.000 0.000
-1.519 2.631 0.000
0.000 0.000 8.826
Mn Hg
2 2
Direct
0.333 0.667 0.250
0.667 0.333 0.750
0.000 0.000 0.000
0.000 0.000 0.500

=====

## ii
GGA-PBEsol MnHg, optimized geometry; space group = Fd-3m, No. 227; calculated density = 12.24 Mg/m³
1.0
6.521 0.000 0.000
0.000 6.521 0.000
0.000 0.000 6.521
Mn Hg
8 8
Direct
0.125 0.125 0.125
0.125 0.625 0.625
0.375 0.375 0.875
0.375 0.875 0.375
0.625 0.125 0.625
0.625 0.625 0.125
0.875 0.375 0.375
0.875 0.875 0.875
0.125 0.125 0.625
0.125 0.625 0.125
0.375 0.375 0.375
0.375 0.875 0.875
0.625 0.125 0.125
0.625 0.625 0.625
0.875 0.375 0.875
0.875 0.875 0.375

=====

## iii
GGA-PBEsol MnHg, optimized geometry; space group = Pm-3m, No. 221; calculated density = 12.39 Mg/m³
1.0
3.247 0.000 0.000
0.000 3.247 0.000
0.000 0.000 3.247
Mn Hg
1 1
Direct
0.000 0.000 0.000
0.500 0.500 0.500

=====

It comes down to iii, which is 80 meV/atom more stable than the next structure.